## A
A plane-wave DFT calculation with PBE was carried out for an optimized crystal structure of ZnSeN2.

Its density of states at the Fermi level is 1.6 states/eV/cell. The crystal system is cubic.

Unit cell a=3.960 b=3.960 c=3.960 alpha=60.00 beta=60.00 gamma=60.00
Element x y z (fractional)
Zn 0.000 0.000 0.000
Se 0.500 0.500 0.500
N 0.250 0.250 0.250
N 0.750 0.750 0.750


## B
A plane-wave DFT calculation with PBE was carried out for an optimized crystal structure of ZnSeN2.

Its density of states at the Fermi level is 1.6 states/eV/cell. The crystal system is trigonal.

Unit cell a=6.140 b=6.140 c=6.140 alpha=30.92 beta=30.92 gamma=30.92
Element x y z (fractional)
Zn 0.000 0.000 0.000
Se 0.500 0.500 0.500
N 0.105 0.105 0.105
N 0.895 0.895 0.895


Stability, descending: B, A


## A
A plane-wave DFT calculation with PBE was carried out for an optimized crystal structure of ZnSeN2.

Its density of states at the Fermi level is 1.8 states/eV/cell. The crystal system is trigonal.

Unit cell a=6.004 b=6.004 c=6.004 alpha=31.63 beta=31.63 gamma=31.63
Element x y z (fractional)
Zn 0.000 0.000 0.000
Se 0.500 0.500 0.500
N 0.393 0.393 0.393
N 0.607 0.607 0.607


## B
A plane-wave DFT calculation with PBE was carried out for an optimized crystal structure of ZnSeN2.

Its density of states at the Fermi level is 1.2 states/eV/cell. The crystal system is tetragonal.

Unit cell a=6.067 b=6.067 c=6.067 alpha=135.22 beta=135.22 gamma=65.18
Element x y z (fractional)
Zn 0.000 0.000 0.000
Zn 0.750 0.250 0.500
Se 0.250 0.750 0.500
Se 0.500 0.500 0.000
N 0.131 0.625 0.006
N 0.375 0.381 0.506
N 0.619 0.125 0.994
N 0.875 0.869 0.494


Stability, descending: B, A


## A
A plane-wave DFT calculation with PBE was carried out for an optimized crystal structure of Zr2SeN.

Its density of states at the Fermi level is 1.3 states/eV/cell. The crystal system is cubic.

Unit cell a=4.457 b=4.457 c=4.457 alpha=60.00 beta=60.00 gamma=60.00
Element x y z (fractional)
Zr 0.250 0.250 0.250
Zr 0.750 0.750 0.750
Se 0.000 0.000 0.000
N 0.500 0.500 0.500


## B
A plane-wave DFT calculation with PBE was carried out for an optimized crystal structure of Zr2SeN.

Its density of states at the Fermi level is 1.9 states/eV/cell. The crystal system is trigonal.

Unit cell a=6.654 b=6.654 c=6.654 alpha=29.89 beta=29.89 gamma=29.89
Element x y z (fractional)
Zr 0.000 0.000 0.000
Zr 0.208 0.208 0.208
Se 0.437 0.437 0.437
N 0.605 0.605 0.605


## C
A plane-wave DFT calculation with PBE was carried out for an optimized crystal structure of Zr2SeN.

Its density of states at the Fermi level is 3.7 states/eV/cell. The crystal system is tetragonal.

Unit cell a=6.633 b=6.633 c=6.633 alpha=130.45 beta=130.45 gamma=72.69
Element x y z (fractional)
Zr 0.045 0.625 0.920
Zr 0.375 0.295 0.420
Zr 0.705 0.125 0.080
Zr 0.875 0.955 0.580
Se 0.250 0.750 0.500
Se 0.500 0.500 0.000
N 0.000 0.000 0.000
N 0.750 0.250 0.500


## D
A plane-wave DFT calculation with PBE was carried out for an optimized crystal structure of Zr2SeN.

Its density of states at the Fermi level is 1.9 states/eV/cell. The crystal system is trigonal.

Unit cell a=6.537 b=6.537 c=6.537 alpha=30.99 beta=30.99 gamma=30.99
Element x y z (fractional)
Zr 0.227 0.227 0.227
Zr 0.773 0.773 0.773
Se 0.000 0.000 0.000
N 0.500 0.500 0.500


Stability, descending: B, D, C, A


## A
A plane-wave DFT calculation with PBE was carried out for an optimized crystal structure of ZrSe2N2.

Its density of states at the Fermi level is 3.1 states/eV/cell. The crystal system is tetragonal.

Unit cell a=3.938 b=3.938 c=4.928 alpha=90.00 beta=90.00 gamma=90.00
Element x y z (fractional)
Zr 0.000 0.000 0.000
Se 0.500 0.500 0.000
Se 0.500 0.500 0.500
N 0.000 0.500 0.500
N 0.500 0.000 0.500


## B
A plane-wave DFT calculation with PBE was carried out for an optimized crystal structure of ZrSe2N2.

Its density of states at the Fermi level is 2.0 states/eV/cell. The crystal system is tetragonal.

Unit cell a=4.114 b=4.114 c=4.243 alpha=90.00 beta=90.00 gamma=90.00
Element x y z (fractional)
Zr 0.000 0.000 0.000
Se 0.000 0.500 0.500
Se 0.500 0.000 0.500
N 0.500 0.500 0.000
N 0.500 0.500 0.500


## C
A plane-wave DFT calculation with PBE was carried out for an optimized crystal structure of ZrSe2N2.

Its density of states at the Fermi level is 4.3 states/eV/cell. The crystal system is tetragonal.

Unit cell a=5.299 b=5.299 c=4.260 alpha=90.00 beta=90.00 gamma=90.00
Element x y z (fractional)
Zr 0.000 0.000 0.000
Se 0.000 0.500 0.000
Se 0.500 0.000 0.000
N 0.000 0.000 0.500
N 0.500 0.500 0.500


## D
A plane-wave DFT calculation with PBE was carried out for an optimized crystal structure of ZrSe2N2.

Its density of states at the Fermi level is 4.9 states/eV/cell. The crystal system is tetragonal.

Unit cell a=4.099 b=4.099 c=5.911 alpha=90.00 beta=90.00 gamma=90.00
Element x y z (fractional)
Zr 0.000 0.000 0.000
Se 0.000 0.000 0.500
Se 0.500 0.500 0.500
N 0.000 0.500 0.000
N 0.500 0.000 0.000


Stability, descending: D, B, A, C


## A
A plane-wave DFT calculation with PBE was carried out for an optimized crystal structure of Sm2SiN3.

Its density of states at the Fermi level is 7.4 states/eV/cell. The crystal system is monoclinic.

Unit cell a=5.942 b=5.942 c=11.639 alpha=90.99 beta=90.99 gamma=126.71
Element x y z (fractional)
Sm 0.035 0.433 0.357
Sm 0.131 0.354 0.932
Sm 0.354 0.131 0.432
Sm 0.433 0.035 0.857
Sm 0.567 0.965 0.143
Sm 0.646 0.869 0.568
Sm 0.869 0.646 0.068
Sm 0.965 0.567 0.643
Si 0.260 0.262 0.667
Si 0.262 0.260 0.167
Si 0.738 0.740 0.833
Si 0.740 0.738 0.333
N 0.017 0.983 0.250
N 0.128 0.452 0.142
N 0.141 0.332 0.543
N 0.332 0.141 0.043
N 0.423 0.577 0.750
N 0.452 0.128 0.642
N 0.548 0.872 0.358
N 0.577 0.423 0.250
N 0.668 0.859 0.957
N 0.859 0.668 0.457
N 0.872 0.548 0.858
N 0.983 0.017 0.750


## B
A plane-wave DFT calculation with PBE was carried out for an optimized crystal structure of Sm2SiN3.

Its density of states at the Fermi level is 3.4 states/eV/cell. The crystal system is monoclinic.

Unit cell a=6.338 b=6.338 c=6.739 alpha=120.36 beta=120.36 gamma=61.19
Element x y z (fractional)
Sm 0.066 0.271 0.238
Sm 0.271 0.066 0.738
Sm 0.729 0.934 0.262
Sm 0.934 0.729 0.762
Si 0.406 0.594 0.250
Si 0.594 0.406 0.750
N 0.138 0.862 0.250
N 0.306 0.387 0.687
N 0.387 0.306 0.187
N 0.613 0.694 0.813
N 0.694 0.613 0.313
N 0.862 0.138 0.750


Stability, descending: A, B


## A
A plane-wave DFT calculation with PBE was carried out for an optimized crystal structure of SiSnN2.

Its density of states at the Fermi level is 0.8 states/eV/cell. The crystal system is cubic.

Unit cell a=4.038 b=4.038 c=4.038 alpha=60.00 beta=60.00 gamma=60.00
Element x y z (fractional)
Si 0.000 0.000 0.000
Sn 0.500 0.500 0.500
N 0.250 0.250 0.250
N 0.750 0.750 0.750


## B
A plane-wave DFT calculation with PBE was carried out for an optimized crystal structure of SiSnN2.

Its density of states at the Fermi level is 0.4 states/eV/cell. The crystal system is trigonal.

Unit cell a=6.393 b=6.393 c=6.393 alpha=26.65 beta=26.65 gamma=26.65
Element x y z (fractional)
Si 0.000 0.000 0.000
Sn 0.500 0.500 0.500
N 0.384 0.384 0.384
N 0.616 0.616 0.616


Stability, descending: B, A


## A
A plane-wave DFT calculation with PBE was carried out for an optimized crystal structure of Si2SnN.

Its density of states at the Fermi level is 2.6 states/eV/cell. The crystal system is tetragonal.

Unit cell a=6.550 b=6.550 c=6.550 alpha=136.21 beta=136.21 gamma=63.66
Element x y z (fractional)
Si 0.375 0.237 0.362
Si 0.763 0.125 0.138
Si 0.875 0.013 0.638
Si 0.987 0.625 0.862
Sn 0.250 0.750 0.500
Sn 0.500 0.500 0.000
N 0.000 0.000 0.000
N 0.750 0.250 0.500


## B
A plane-wave DFT calculation with PBE was carried out for an optimized crystal structure of Si2SnN.

Its density of states at the Fermi level is 2.2 states/eV/cell. The crystal system is cubic.

Unit cell a=4.494 b=4.494 c=4.494 alpha=60.00 beta=60.00 gamma=60.00
Element x y z (fractional)
Si 0.250 0.250 0.250
Si 0.750 0.750 0.750
Sn 0.000 0.000 0.000
N 0.500 0.500 0.500


Stability, descending: A, B


## A
A plane-wave DFT calculation with PBE was carried out for an optimized crystal structure of SiSnTeN2.

Its density of states at the Fermi level is 2.0 states/eV/cell. The crystal system is tetragonal.

Unit cell a=3.904 b=3.904 c=5.424 alpha=90.00 beta=90.00 gamma=90.00
Element x y z (fractional)
Si 0.000 0.000 0.000
Sn 0.500 0.500 0.500
Te 0.000 0.000 0.500
N 0.000 0.500 0.000
N 0.500 0.000 0.000


## B
A plane-wave DFT calculation with PBE was carried out for an optimized crystal structure of SiSnTeN2.

Its density of states at the Fermi level is 3.5 states/eV/cell. The crystal system is tetragonal.

Unit cell a=4.134 b=4.134 c=6.137 alpha=90.00 beta=90.00 gamma=90.00
Element x y z (fractional)
Si 0.000 0.000 0.000
Sn 0.500 0.500 0.500
Te 0.500 0.500 0.000
N 0.000 0.500 0.500
N 0.500 0.000 0.500


Stability, descending: A, B


## A
A plane-wave DFT calculation with PBE was carried out for an optimized crystal structure of Tb4Si2N.

Its density of states at the Fermi level is 7.1 states/eV/cell. The crystal system is tetragonal.

Unit cell a=8.447 b=8.447 c=8.447 alpha=148.54 beta=148.54 gamma=45.09
Element x y z (fractional)
Tb 0.000 0.500 0.500
Tb 0.178 0.178 0.000
Tb 0.500 0.000 0.500
Tb 0.822 0.822 0.000
Si 0.366 0.366 0.000
Si 0.634 0.634 0.000
N 0.500 0.500 0.000


## B
A plane-wave DFT calculation with PBE was carried out for an optimized crystal structure of Tb4Si2N.

Its density of states at the Fermi level is 5.6 states/eV/cell. The crystal system is monoclinic.

Unit cell a=6.212 b=6.212 c=8.151 alpha=123.85 beta=123.85 gamma=36.25
Element x y z (fractional)
Tb 0.082 0.082 0.348
Tb 0.341 0.341 0.923
Tb 0.659 0.659 0.077
Tb 0.918 0.918 0.652
Si 0.388 0.388 0.337
Si 0.612 0.612 0.663
N 0.000 0.000 0.000


Stability, descending: B, A


## A
A plane-wave DFT calculation with PBE was carried out for an optimized crystal structure of Si2Tc2N.

Its density of states at the Fermi level is 10.0 states/eV/cell. The crystal system is tetragonal.

Unit cell a=5.682 b=5.682 c=3.878 alpha=90.00 beta=90.00 gamma=90.00
Element x y z (fractional)
Si 0.155 0.345 0.000
Si 0.345 0.845 0.000
Si 0.655 0.155 0.000
Si 0.845 0.655 0.000
Tc 0.165 0.665 0.500
Tc 0.335 0.165 0.500
Tc 0.665 0.835 0.500
Tc 0.835 0.335 0.500
N 0.000 0.000 0.000
N 0.500 0.500 0.000


## B
A plane-wave DFT calculation with PBE was carried out for an optimized crystal structure of Si2Tc2N.

Its density of states at the Fermi level is 4.6 states/eV/cell. The crystal system is tetragonal.

Unit cell a=6.384 b=6.384 c=6.384 alpha=147.35 beta=147.35 gamma=46.85
Element x y z (fractional)
Si 0.097 0.097 0.000
Si 0.903 0.903 0.000
Tc 0.250 0.750 0.500
Tc 0.750 0.250 0.500
N 0.500 0.500 0.000


Stability, descending: A, B


## A
A plane-wave DFT calculation with PBE was carried out for an optimized crystal structure of SiTc2N.

Its density of states at the Fermi level is 6.5 states/eV/cell. The crystal system is tetragonal.

Unit cell a=5.939 b=5.939 c=5.939 alpha=129.18 beta=129.18 gamma=74.71
Element x y z (fractional)
Si 0.000 0.000 0.000
Si 0.750 0.250 0.500
Tc 0.199 0.625 0.074
Tc 0.375 0.449 0.574
Tc 0.551 0.125 0.926
Tc 0.875 0.801 0.426
N 0.250 0.750 0.500
N 0.500 0.500 0.000


## B
A plane-wave DFT calculation with PBE was carried out for an optimized crystal structure of SiTc2N.

Its density of states at the Fermi level is 4.7 states/eV/cell. The crystal system is cubic.

Unit cell a=4.070 b=4.070 c=4.070 alpha=60.00 beta=60.00 gamma=60.00
Element x y z (fractional)
Si 0.000 0.000 0.000
Tc 0.250 0.250 0.250
Tc 0.750 0.750 0.750
N 0.500 0.500 0.500


Stability, descending: A, B